# 1
# AcSm4Tm GGA-PBE optimized geometry
# crystal system = orthorhombic
# relative energy among the computed polymorphs = 0.000 eV per atom
# DFT formation energy = 0.054 eV per atom
# total energy = -4.52 eV/atom
data_AcSm4Tm
_chemical_formula_sum 'Ac2 Sm8 Tm2'
_cell_length_a 5.7894
_cell_length_b 9.9886
_cell_length_c 7.1363
_cell_angle_alpha 90.00
_cell_angle_beta 90.00
_cell_angle_gamma 90.00
_space_group_name_H-M_alt 'C m m m'
_space_group_IT_number 65
_space_group_name_Hall '-C 2 2'
loop_
_atom_site_label
_atom_site_type_symbol
_atom_site_fract_x
_atom_site_fract_y
_atom_site_fract_z
_atom_site_occupancy
Ac1 Ac 0.0000 0.0000 0.0000 1
Sm1 Sm 0.0000 0.3334 0.2604 1
Tm1 Tm 0.0000 0.0000 0.5000 1


# 2
# Ac8SmTm2 GGA-PBE optimized geometry
# crystal system = monoclinic
# DFT formation energy = 0.360 eV per atom
# total energy = -3.87 eV/atom
data_Ac8SmTm2
_chemical_formula_sum 'Ac16 Sm2 Tm4'
_cell_length_a 13.4040
_cell_length_b 12.2374
_cell_length_c 6.2264
_cell_angle_alpha 90.00
_cell_angle_beta 102.90
_cell_angle_gamma 90.00
_space_group_name_H-M_alt 'C 1 2/m 1'
_space_group_IT_number 12
_space_group_name_Hall '-C 2y'
loop_
_atom_site_label
_atom_site_type_symbol
_atom_site_fract_x
_atom_site_fract_y
_atom_site_fract_z
_atom_site_occupancy
Ac1 Ac 0.0798 0.0000 0.2923 1
Ac2 Ac 0.1118 0.2460 0.8092 1
Ac3 Ac 0.1430 0.5000 0.5036 1
Sm1 Sm 0.0000 0.5000 0.0000 1
Tm1 Tm 0.2394 0.0000 0.9231 1


# 3
# Ac4Sm3Tm2 GGA-PBE optimized geometry
# crystal system = triclinic
# DFT formation energy = 0.056 eV per atom
# total energy = -4.34 eV/atom
data_Ac4Sm3Tm2
_chemical_formula_sum 'Ac4 Sm3 Tm2'
_cell_length_a 5.3880
_cell_length_b 6.4154
_cell_length_c 11.2535
_cell_angle_alpha 105.01
_cell_angle_beta 90.01
_cell_angle_gamma 114.77
_space_group_name_H-M_alt 'P -1'
_space_group_IT_number 2
_space_group_name_Hall '-P 1'
loop_
_atom_site_label
_atom_site_type_symbol
_atom_site_fract_x
_atom_site_fract_y
_atom_site_fract_z
_atom_site_occupancy
Ac1 Ac 0.0031 0.0064 0.3315 1
Ac2 Ac 0.3341 0.6682 0.1109 1
Sm1 Sm 0.0000 0.0000 0.0000 1
Sm2 Sm 0.3337 0.6673 0.4482 1
Tm1 Tm 0.3283 0.6568 0.7717 1


- The highest DFT formation energy belongs to which entry?
  Ac8SmTm2